No. 1
## AgHg2SI2 (PBE-GGA)

Data for AgHg2SI2 after structural relaxation.

a = 6.598 Å, b = 7.336 Å, c = 8.958 Å
α = 114.17°, β = 90.00°, γ = 90.00°
Positions (direct):
I 0.204 0.902 0.325
I 0.704 0.423 0.325
I 0.204 0.577 0.675
I 0.704 0.098 0.675
Hg 0.205 0.437 0.316
Hg 0.205 0.121 0.684
Hg 0.705 0.879 0.316
Hg 0.705 0.563 0.684
Ag 0.452 0.999 0.000
Ag 0.952 0.001 0.000
S 0.703 0.759 0.000
S 0.203 0.241 0.000

D(E_F) = 4.20 states/eV per cell
SG = Cmc2_1, No. 36
final energy = -22.423 eV per cell

=====

No. 2
## FeOsRuPb2 (PBE-GGA)

Data for FeOsRuPb2 after structural relaxation.

a = 4.909 Å, b = 4.331 Å, c = 4.909 Å
α = 90.00°, β = 90.00°, γ = 90.00°
Site moments in Bohr magnetons follow the coordinates.
Positions (direct):
Ru 0.000 0.500 0.000  -0.07
Os 0.500 0.500 0.500  0.91
Fe 0.000 0.000 0.000  -0.10
Pb 0.500 0.000 0.000  0.00
Pb 0.000 0.000 0.500  -0.01

D(E_F) = 6.21 states/eV per cell
SG = P4/mmm, No. 123
DFT formation energy = 1.559 eV/atom
final energy = -28.588 eV per cell

=====

No. 3
## ThScTlZn (PBE-GGA)

Data for ThScTlZn after structural relaxation.

a = 5.192 Å, b = 5.192 Å, c = 5.192 Å
α = 60.00°, β = 60.00°, γ = 60.00°
Positions (direct):
Zn 0.250 0.250 0.250
Sc 0.000 0.000 0.000
Th 0.500 0.500 0.500
Tl 0.750 0.750 0.750

D(E_F) = 3.19 states/eV per cell
SG = F-43m, No. 216
DFT formation energy = -0.167 eV/atom
energy above the lowest structure with this stoichiometry = 71 meV per atom
final energy = -18.060 eV per cell

=====

No. 4
## KGa2Cl8 (PBE-GGA)

Data for KGa2Cl8 after structural relaxation.

a = 7.191 Å, b = 8.283 Å, c = 8.283 Å
α = 57.16°, β = 74.35°, γ = 74.35°
Site moments in Bohr magnetons follow the coordinates.
Positions (direct):
Cl 0.115 0.315 0.315  0.11
Cl 0.703 0.131 0.687  0.16
Cl 0.363 0.809 0.809  0.01
Cl 0.885 0.685 0.685  0.11
Cl 0.297 0.869 0.313  0.16
Cl 0.637 0.191 0.191  0.01
Cl 0.703 0.687 0.131  0.16
Cl 0.297 0.313 0.869  0.16
K 0.000 0.000 0.000  0.00
Ga 0.655 0.824 0.824  -0.01
Ga 0.345 0.176 0.176  -0.01

D(E_F) = 6.32 states/eV per cell
SG = C2/m, No. 12
energy above the lowest structure with this stoichiometry = 0 meV per atom
final energy = -34.326 eV per cell

=====

Question: Among the records above, which one has the lowest D(E_F)?
Answer: ThScTlZn

=====

Repeat the second record exactly.
## FeOsRuPb2 (PBE-GGA)

Data for FeOsRuPb2 after structural relaxation.

a = 4.909 Å, b = 4.331 Å, c = 4.909 Å
α = 90.00°, β = 90.00°, γ = 90.00°
Site moments in Bohr magnetons follow the coordinates.
Positions (direct):
Ru 0.000 0.500 0.000  -0.07
Os 0.500 0.500 0.500  0.91
Fe 0.000 0.000 0.000  -0.10
Pb 0.500 0.000 0.000  0.00
Pb 0.000 0.000 0.500  -0.01

D(E_F) = 6.21 states/eV per cell
SG = P4/mmm, No. 123
DFT formation energy = 1.559 eV/atom
final energy = -28.588 eV per cell

=====

Question: Number 1 is which compound?
Answer: AgHg2SI2